1.
# PBE Pm3BiSb, relaxed
data_Pm3BiSb
_space_group_name_H-M_alt 'C 1 2/c 1'
_space_group_IT_number 15
_cell_length_a 15.524
_cell_length_b 12.630
_cell_length_c 7.631
_cell_angle_alpha 90.00
_cell_angle_beta 103.89
_cell_angle_gamma 90.00
loop_
_space_group_symop_operation_xyz
'x,y,z'
'-x,-y,-z'
'-x,y,-z+1/2'
'x,-y,z+1/2'
'x+1/2,y+1/2,z'
'-x+1/2,-y+1/2,-z'
'-x+1/2,y+1/2,-z+1/2'
'x+1/2,-y+1/2,z+1/2'
loop_
_atom_site_label
_atom_site_fract_x
_atom_site_fract_y
_atom_site_fract_z
Pm1 0.099 0.054 0.432
Pm2 0.107 0.237 0.965
Pm3 0.125 0.417 0.481
Bi1 0.245 0.109 0.791
Sb1 0.000 0.253 0.250
Sb2 0.000 0.419 0.750
# E ... -204.600 eV for the cell shown
# D(E_F) ... 4.31 states/eV/f.u.
# Magnetic moment ... 0.32 μB/f.u.
# E_form (uncorrected) ... -0.664 eV per atom

---

2.
# PBE PmBiSb2, relaxed
data_PmBiSb2
_space_group_name_H-M_alt 'F m -3 m'
_space_group_IT_number 225
_space_group_name_Hall '-F 4 2 3'
_cell_length_a 7.804
_cell_length_b 7.804
_cell_length_c 7.804
_cell_angle_alpha 90.00
_cell_angle_beta 90.00
_cell_angle_gamma 90.00
loop_
_atom_site_label
_atom_site_fract_x
_atom_site_fract_y
_atom_site_fract_z
Pm1 0.000 0.000 0.000
Bi1 0.000 0.000 0.500
Sb1 0.250 0.250 0.250
# E ... -72.091 eV for the cell shown
# D(E_F) ... 3.20 states/eV/f.u.
# Magnetic moment ... 0.00 μB/f.u.
# E_form (uncorrected) ... -0.287 eV per atom